TcBP2Cl at its PBEsol-relaxed geometry, computed with meta-GGA SCAN.

Values from the calculation:
* final energy: -65.5 eV/cell
* space-group type: No. 123

Cell: 4.460 4.460 5.005 Å, 90.00 90.00 90.00°
Element x y z (fractional)
Tc  0.000  0.000  0.000
B  0.500  0.500  0.500
P  0.000  0.500  0.000
P  0.500  0.000  0.000
Cl  0.000  0.000  0.500